(1)
Below is RbPdN after structural relaxation, with properties calculated at the GGA-PBE level.

Summary:
- E_form (uncorrected) (eV/atom) = 0.006
- D(E_F) (states/eV/atom) = 0.18
- magnetization (μB per formula unit) = 0.0
- excess energy over the best structure of this formula in the dataset (meV per atom) = 0

Unit cell a=4.138 b=5.326 c=7.042 alpha=104.31 beta=107.00 gamma=90.12
Space group P-1 (No. 2)
Symmetry-distinct sites (fractional):
Rb (0.122, 0.414, 0.241)
Pd (0.318, 0.039, 0.638)
N (0.476, 0.076, 0.948)



(2)
Below is RbPd2N after structural relaxation, with properties calculated at the GGA-PBE level.

Summary:
- E_form (uncorrected) (eV/atom) = 0.154
- D(E_F) (states/eV/atom) = 0.31
- magnetization (μB per formula unit) = 0.0

Unit cell a=5.727 b=5.727 c=11.093 alpha=90.00 beta=90.00 gamma=90.00
Space group I4_1/amd (No. 141, origin choice 2)
Symmetry-distinct sites (fractional):
Rb (0.000, 0.250, 0.375)
Pd (0.000, 0.000, 0.000)
N (0.000, 0.250, 0.875)



(3)
Below is Rb2RePdN after structural relaxation, with properties calculated at the GGA-PBE level.

Summary:
- E_form (uncorrected) (eV/atom) = 1.320
- D(E_F) (states/eV/atom) = 0.48
- magnetization (μB per formula unit) = 4.3

Unit cell a=6.396 b=6.396 c=3.703 alpha=90.00 beta=90.00 gamma=90.00
Space group P4/mmm (No. 123)
Symmetry-distinct sites (fractional):
Rb (0.000, 0.500, 0.000)
Re (0.000, 0.000, 0.500)
Pd (0.500, 0.500, 0.500)
N (0.500, 0.500, 0.000)



(4)
Below is Rb2PdRhN after structural relaxation, with properties calculated at the GGA-PBE level.

Summary:
- E_form (uncorrected) (eV/atom) = 1.358
- D(E_F) (states/eV/atom) = 1.21
- magnetization (μB per formula unit) = 1.9

Unit cell a=6.521 b=6.521 c=4.740 alpha=90.00 beta=90.00 gamma=90.00
Space group P4/mmm (No. 123)
Symmetry-distinct sites (fractional):
Rb (0.000, 0.500, 0.000)
Pd (0.000, 0.000, 0.000)
Rh (0.000, 0.000, 0.500)
N (0.500, 0.500, 0.500)



(5)
Below is Rb2PdS2N after structural relaxation, with properties calculated at the GGA-PBE level.

Summary:
- E_form (uncorrected) (eV/atom) = 0.204
- D(E_F) (states/eV/atom) = 0.36
- magnetization (μB per formula unit) = 0.0

Unit cell a=7.072 b=12.233 c=6.265 alpha=90.00 beta=90.00 gamma=90.00
Space group Ibam (No. 72)
Symmetry-distinct sites (fractional):
Rb (0.121, 0.195, 0.000)
Pd (0.000, 0.500, 0.250)
S (0.238, 0.038, 0.500)
N (0.000, 0.000, 0.250)



(6)
Below is RbPdSN2 after structural relaxation, with properties calculated at the GGA-PBE level.

Summary:
- E_form (uncorrected) (eV/atom) = 2.580
- D(E_F) (states/eV/atom) = 1.00
- magnetization (μB per formula unit) = 7.0
- excess energy over the best structure of this formula in the dataset (meV per atom) = 1481

Unit cell a=5.181 b=5.181 c=6.178 alpha=90.00 beta=90.00 gamma=90.00
Space group P4/mmm (No. 123)
Symmetry-distinct sites (fractional):
Rb (0.000, 0.000, 0.000)
Pd (0.500, 0.500, 0.500)
S (0.000, 0.000, 0.500)
N (0.000, 0.500, 0.000)



(7)
Below is RbPdSN2 after structural relaxation, with properties calculated at the GGA-PBE level.

Summary:
- E_form (uncorrected) (eV/atom) = 1.099
- D(E_F) (states/eV/atom) = 0.57
- magnetization (μB per formula unit) = 3.9
- excess energy over the best structure of this formula in the dataset (meV per atom) = 0

Unit cell a=4.293 b=4.293 c=5.050 alpha=90.00 beta=90.00 gamma=90.00
Space group P4/mmm (No. 123)
Symmetry-distinct sites (fractional):
Rb (0.000, 0.000, 0.000)
Pd (0.500, 0.500, 0.500)
S (0.500, 0.500, 0.000)
N (0.000, 0.500, 0.500)



(8)
Below is RbSbPdN2 after structural relaxation, with properties calculated at the GGA-PBE level.

Summary:
- E_form (uncorrected) (eV/atom) = 2.547
- D(E_F) (states/eV/atom) = 1.12
- magnetization (μB per formula unit) = 0.0
- excess energy over the best structure of this formula in the dataset (meV per atom) = 1047

Unit cell a=4.483 b=4.483 c=5.191 alpha=90.00 beta=90.00 gamma=90.00
Space group P4/mmm (No. 123)
Symmetry-distinct sites (fractional):
Rb (0.000, 0.000, 0.000)
Sb (0.500, 0.500, 0.500)
Pd (0.000, 0.000, 0.500)
N (0.000, 0.500, 0.000)



(9)
Below is RbSbPdN2 after structural relaxation, with properties calculated at the GGA-PBE level.

Summary:
- E_form (uncorrected) (eV/atom) = 1.500
- D(E_F) (states/eV/atom) = 0.29
- magnetization (μB per formula unit) = 1.3
- excess energy over the best structure of this formula in the dataset (meV per atom) = 0

Unit cell a=4.172 b=4.172 c=7.520 alpha=90.00 beta=90.00 gamma=90.00
Space group P4/mmm (No. 123)
Symmetry-distinct sites (fractional):
Rb (0.000, 0.000, 0.000)
Sb (0.000, 0.000, 0.500)
Pd (0.500, 0.500, 0.000)
N (0.000, 0.500, 0.500)



(10)
Below is RbPdSeN2 after structural relaxation, with properties calculated at the GGA-PBE level.

Summary:
- E_form (uncorrected) (eV/atom) = 1.395
- D(E_F) (states/eV/atom) = 0.83
- magnetization (μB per formula unit) = 5.0
- excess energy over the best structure of this formula in the dataset (meV per atom) = 108

Unit cell a=4.180 b=4.180 c=7.195 alpha=90.00 beta=90.00 gamma=90.00
Space group P4/mmm (No. 123)
Symmetry-distinct sites (fractional):
Rb (0.000, 0.000, 0.000)
Pd (0.000, 0.000, 0.500)
Se (0.500, 0.500, 0.000)
N (0.000, 0.500, 0.500)



(11)
Below is RbPdSe2N after structural relaxation, with properties calculated at the GGA-PBE level.

Summary:
- E_form (uncorrected) (eV/atom) = 2.174
- D(E_F) (states/eV/atom) = 2.09
- magnetization (μB per formula unit) = 3.8
- excess energy over the best structure of this formula in the dataset (meV per atom) = 1825

Unit cell a=6.059 b=6.059 c=5.033 alpha=90.00 beta=90.00 gamma=90.00
Space group P4/mmm (No. 123)
Symmetry-distinct sites (fractional):
Rb (0.000, 0.000, 0.000)
Pd (0.500, 0.500, 0.500)
Se (0.000, 0.500, 0.000)
N (0.000, 0.000, 0.500)



(12)
Below is RbPdSe2N after structural relaxation, with properties calculated at the GGA-PBE level.

Summary:
- E_form (uncorrected) (eV/atom) = 0.349
- D(E_F) (states/eV/atom) = 0.97
- magnetization (μB per formula unit) = 0.8
- excess energy over the best structure of this formula in the dataset (meV per atom) = 0

Unit cell a=5.615 b=5.615 c=3.719 alpha=90.00 beta=90.00 gamma=90.00
Space group P4/mmm (No. 123)
Symmetry-distinct sites (fractional):
Rb (0.000, 0.000, 0.000)
Pd (0.500, 0.500, 0.500)
Se (0.000, 0.500, 0.500)
N (0.500, 0.500, 0.000)



(13)
Below is RbPdSeN2 after structural relaxation, with properties calculated at the GGA-PBE level.

Summary:
- E_form (uncorrected) (eV/atom) = 2.592
- D(E_F) (states/eV/atom) = 0.80
- magnetization (μB per formula unit) = 4.4
- excess energy over the best structure of this formula in the dataset (meV per atom) = 1304

Unit cell a=4.440 b=4.440 c=6.587 alpha=90.00 beta=90.00 gamma=90.00
Space group P4/mmm (No. 123)
Symmetry-distinct sites (fractional):
Rb (0.000, 0.000, 0.000)
Pd (0.500, 0.500, 0.500)
Se (0.000, 0.000, 0.500)
N (0.000, 0.500, 0.000)



(14)
Below is RbPdSeN2 after structural relaxation, with properties calculated at the GGA-PBE level.

Summary:
- E_form (uncorrected) (eV/atom) = 1.288
- D(E_F) (states/eV/atom) = 1.27
- magnetization (μB per formula unit) = 0.6
- excess energy over the best structure of this formula in the dataset (meV per atom) = 0

Unit cell a=4.287 b=4.287 c=5.231 alpha=90.00 beta=90.00 gamma=90.00
Space group P4/mmm (No. 123)
Symmetry-distinct sites (fractional):
Rb (0.000, 0.000, 0.000)
Pd (0.500, 0.500, 0.500)
Se (0.500, 0.500, 0.000)
N (0.000, 0.500, 0.500)



(15)
Below is RbTePdN2 after structural relaxation, with properties calculated at the GGA-PBE level.

Summary:
- E_form (uncorrected) (eV/atom) = 2.628
- D(E_F) (states/eV/atom) = 2.04
- magnetization (μB per formula unit) = 0.0
- excess energy over the best structure of this formula in the dataset (meV per atom) = 1189

Unit cell a=4.169 b=4.169 c=7.412 alpha=90.00 beta=90.00 gamma=90.00
Space group P4/mmm (No. 123)
Symmetry-distinct sites (fractional):
Rb (0.000, 0.000, 0.000)
Te (0.000, 0.000, 0.500)
Pd (0.500, 0.500, 0.500)
N (0.000, 0.500, 0.000)



(16)
Below is RbTePdN2 after structural relaxation, with properties calculated at the GGA-PBE level.

Summary:
- E_form (uncorrected) (eV/atom) = 1.439
- D(E_F) (states/eV/atom) = 1.20
- magnetization (μB per formula unit) = 0.8
- excess energy over the best structure of this formula in the dataset (meV per atom) = 0

Unit cell a=4.433 b=4.433 c=5.434 alpha=90.00 beta=90.00 gamma=90.00
Space group P4/mmm (No. 123)
Symmetry-distinct sites (fractional):
Rb (0.000, 0.000, 0.000)
Te (0.500, 0.500, 0.000)
Pd (0.500, 0.500, 0.500)
N (0.000, 0.500, 0.500)



(17)
Below is Rb2TiPdN after structural relaxation, with properties calculated at the GGA-PBE level.

Summary:
- E_form (uncorrected) (eV/atom) = 0.497
- D(E_F) (states/eV/atom) = 1.34
- magnetization (μB per formula unit) = 1.6

Unit cell a=6.724 b=6.724 c=3.776 alpha=90.00 beta=90.00 gamma=90.00
Space group P4/mmm (No. 123)
Symmetry-distinct sites (fractional):
Rb (0.000, 0.500, 0.000)
Ti (0.000, 0.000, 0.000)
Pd (0.500, 0.500, 0.500)
N (0.000, 0.000, 0.500)



(18)
Below is RbV2PdN after structural relaxation, with properties calculated at the GGA-PBE level.

Summary:
- E_form (uncorrected) (eV/atom) = 2.218
- D(E_F) (states/eV/atom) = 2.68
- magnetization (μB per formula unit) = 0.2

Unit cell a=4.661 b=4.661 c=6.333 alpha=90.00 beta=90.00 gamma=90.00
Space group P4/mmm (No. 123)
Symmetry-distinct sites (fractional):
Rb (0.000, 0.000, 0.000)
V (0.000, 0.500, 0.500)
Pd (0.000, 0.000, 0.500)
N (0.500, 0.500, 0.000)



(19)
Below is RePdN2 after structural relaxation, with properties calculated at the GGA-PBE level.

Summary:
- E_form (uncorrected) (eV/atom) = 0.313
- D(E_F) (states/eV/atom) = 0.77
- magnetization (μB per formula unit) = 0.0
- excess energy over the best structure of this formula in the dataset (meV per atom) = 99

Unit cell a=4.780 b=4.780 c=9.309 alpha=90.00 beta=90.00 gamma=90.00
Space group I-42d (No. 122)
Symmetry-distinct sites (fractional):
Re (0.000, 0.000, 0.000)
Pd (0.000, 0.000, 0.500)
N (0.191, 0.250, 0.125)



(20)
Below is Re2Pd2N after structural relaxation, with properties calculated at the GGA-PBE level.

Summary:
- E_form (uncorrected) (eV/atom) = 0.272
- D(E_F) (states/eV/atom) = 0.79
- magnetization (μB per formula unit) = 0.0
- excess energy over the best structure of this formula in the dataset (meV per atom) = 0

Unit cell a=5.443 b=5.443 c=4.760 alpha=90.00 beta=90.00 gamma=90.00
Space group P4/mbm (No. 127)
Symmetry-distinct sites (fractional):
Re (0.168, 0.332, 0.000)
Pd (0.174, 0.674, 0.500)
N (0.000, 0.000, 0.000)